1.
Computed, not measured: crystalline Ba2HPd at its relaxed geometry at the PBE-GGA level of DFT.

## Properties
- relative energy among the computed polymorphs (meV/atom) = 0.0
- SG = R-3m, No. 166

Unit cell a=7.598 b=7.598 c=7.598 alpha=34.23 beta=34.23 gamma=34.23
Sites, in units of the cell vectors:
Ba (0.247, 0.247, 0.247)
Ba (0.753, 0.753, 0.753)
H (0.500, 0.500, 0.500)
Pd (0.000, 0.000, 0.000)

---

2.
Computed, not measured: crystalline LiSiBrCl2 at its relaxed geometry at the PBE-GGA level of DFT.

## Properties
- raw formation energy (eV per atom) = -0.3950
- SG = P4/mmm, No. 123

Unit cell a=4.625 b=4.625 c=5.022 alpha=90.00 beta=90.00 gamma=90.00
Sites, in units of the cell vectors:
Li (0.000, 0.000, 0.000)
Si (0.500, 0.500, 0.500)
Br (0.000, 0.000, 0.500)
Cl (0.000, 0.500, 0.000)
Cl (0.500, 0.000, 0.000)

---

3.
Computed, not measured: crystalline KTmScTe3 at its relaxed geometry at the PBE-GGA level of DFT.

## Properties
- raw formation energy (eV per atom) = -1.1892
- SG = P2_1/m, No. 11

Unit cell a=9.587 b=4.526 c=10.631 alpha=90.00 beta=107.36 gamma=90.00
Sites, in units of the cell vectors:
K (0.204, 0.250, 0.233)
K (0.796, 0.750, 0.767)
Tm (0.338, 0.750, 0.865)
Tm (0.662, 0.250, 0.135)
Sc (0.084, 0.250, 0.608)
Sc (0.916, 0.750, 0.392)
Te (0.117, 0.250, 0.877)
Te (0.226, 0.750, 0.545)
Te (0.458, 0.750, 0.161)
Te (0.542, 0.250, 0.839)
Te (0.774, 0.250, 0.455)
Te (0.883, 0.750, 0.123)

---

4.
Computed, not measured: crystalline ScCo2Se at its relaxed geometry at the PBE-GGA level of DFT.

## Properties
- raw formation energy (eV per atom) = -0.2070
- SG = C2/m, No. 12

Unit cell a=4.654 b=4.654 c=4.209 alpha=103.84 beta=103.84 gamma=41.89
Sites, in units of the cell vectors:
Sc (0.000, 0.000, 0.000)
Co (0.241, 0.241, 0.720)
Co (0.759, 0.759, 0.280)
Se (0.500, 0.500, 0.500)

---

5.
Computed, not measured: crystalline PuHfPa2 at its relaxed geometry at the PBE-GGA level of DFT.

## Properties
- ΔH_f (0 K) (meV per atom) = 75
- relative energy among the computed polymorphs (meV/atom) = 0.0
- SG = P2_1/m, No. 11

Unit cell a=6.527 b=4.523 c=7.251 alpha=90.00 beta=116.11 gamma=90.00
Sites, in units of the cell vectors:
Pu (0.060, 0.250, 0.379)
Pu (0.940, 0.750, 0.621)
Hf (0.442, 0.750, 0.615)
Hf (0.558, 0.250, 0.385)
Pa (0.189, 0.750, 0.127)
Pa (0.315, 0.250, 0.871)
Pa (0.685, 0.750, 0.129)
Pa (0.811, 0.250, 0.873)

---

6.
Computed, not measured: crystalline InP2CS at its relaxed geometry at the PBE-GGA level of DFT.

## Properties
- raw formation energy (eV per atom) = 1.0397
- relative energy among the computed polymorphs (meV/atom) = 0.0
- SG = P4/mmm, No. 123

Unit cell a=4.174 b=4.174 c=4.350 alpha=90.00 beta=90.00 gamma=90.00
Sites, in units of the cell vectors:
In (0.000, 0.000, 0.000)
P (0.000, 0.500, 0.500)
P (0.500, 0.000, 0.500)
C (0.500, 0.500, 0.500)
S (0.500, 0.500, 0.000)

---

| no. | E_tot (eV per atom) |
| --- | --- |
| 1 | -3.491 |
| 2 | -2.936 |
| 3 | -4.743 |
| 4 | -6.214 |
| 5 | -10.744 |
| 6 | -4.342 |